A plane-wave DFT calculation with GGA-PBE was carried out for a relaxed structure of TiIn3H.

Calculated values
Its total energy is -0.1349 Ha/atom. The magnetic moment is 0.000 μB/atom.

a = 4.488 Å, b = 4.488 Å, c = 4.488 Å
α = 90.00°, β = 90.00°, γ = 90.00°
Space group Pm-3m (No. 221)
One atom of each set of equivalent atoms:
Ti 0.000 0.000 0.000 x1
In 0.000 0.500 0.500 x3
H 0.500 0.500 0.500 x1

A plane-wave DFT calculation with GGA-PBE was carried out for a relaxed structure of Mg2VPt.

Calculated values
Its energy above the most stable polymorph in this dataset is 0.0 meV/atom. The magnetic moment is 0.855 μB/atom. The formation enthalpy at 0 K comes out at -0.8 eV per formula unit.

a = 6.454 Å, b = 6.454 Å, c = 6.454 Å
α = 90.00°, β = 90.00°, γ = 90.00°
Space group Fm-3m (No. 225)
One atom of each set of equivalent atoms:
Mg 0.250 0.250 0.250 x8
V 0.000 0.000 0.000 x4
Pt 0.000 0.000 0.500 x4

A plane-wave DFT calculation with GGA-PBE was carried out for a relaxed structure of PdSeBr3.

Calculated values
Its energy above the most stable polymorph in this dataset is 516.5 meV/atom. The magnetic moment is 0.568 μB/atom. The energy relative to the elements, uncorrected is 0.276 eV per atom.

a = 5.183 Å, b = 5.183 Å, c = 5.183 Å
α = 90.00°, β = 90.00°, γ = 90.00°
Space group Pm-3m (No. 221)
One atom of each set of equivalent atoms:
Pd 0.000 0.000 0.000 x1
Se 0.500 0.500 0.500 x1
Br 0.000 0.000 0.500 x3